(1)
Compound: Cs2BeTe3
Source: Alexandria
Functional: PBE-GGA
Structure: relaxed

Cell: 4.774 8.231 25.537 Å, 90.00 90.00 90.00°
Fractional positions:
Te  0.250  0.053  0.357
Te  0.250  0.372  0.319
Te  0.750  0.344  0.033
Te  0.250  0.553  0.143
Te  0.250  0.872  0.181
Te  0.750  0.844  0.467
Te  0.250  0.156  0.533
Te  0.750  0.947  0.643
Te  0.250  0.656  0.967
Te  0.750  0.128  0.819
Te  0.750  0.447  0.857
Te  0.750  0.628  0.681
Cs  0.250  0.264  0.709
Cs  0.250  0.652  0.569
Cs  0.250  0.764  0.791
Cs  0.250  0.152  0.931
Cs  0.750  0.848  0.069
Cs  0.750  0.348  0.431
Cs  0.750  0.736  0.291
Cs  0.750  0.236  0.209
Be  0.750  0.504  0.952
Be  0.250  0.496  0.048
Be  0.750  0.004  0.548
Be  0.250  0.996  0.452

Properties
* energy relative to the elements, uncorrected: -59 kJ/mol of atoms
* energy: -3.09 eV per atom

***

(2)
Compound: TbPr3Tm3Se8
Source: Alexandria
Functional: PBE-GGA
Structure: relaxed

Cell: 8.194 8.194 8.317 Å, 119.51 90.00 120.00°
Fractional positions:
Se  0.251  0.502  0.736
Se  0.265  0.014  0.263
Se  0.743  0.486  0.729
Se  0.749  0.498  0.264
Se  0.251  0.986  0.737
Se  0.735  0.986  0.737
Se  0.257  0.514  0.271
Se  0.749  0.014  0.263
Pr  0.000  0.000  0.000
Pr  0.000  0.500  0.000
Pr  0.500  0.500  0.000
Tm  0.500  0.000  0.500
Tm  0.500  0.500  0.500
Tm  0.000  0.500  0.500
Tb  0.000  0.000  0.500

Properties
* energy relative to the elements, uncorrected: -177 kJ/mol of atoms
* energy: -5.85 eV per atom

***

(3)
Compound: AcDy3Er7
Source: Alexandria
Functional: PBE-GGA
Structure: relaxed

Cell: 5.917 8.407 8.407 Å, 81.99 110.62 110.62°
Fractional positions:
Er  0.000  0.500  0.500
Er  0.804  0.804  0.804
Er  0.286  0.596  0.976
Er  0.714  0.024  0.404
Er  0.714  0.404  0.024
Er  0.196  0.196  0.196
Er  0.286  0.976  0.596
Dy  0.000  0.210  0.790
Dy  0.500  0.000  0.000
Dy  0.000  0.790  0.210
Ac  0.500  0.500  0.500

Properties
* formation energy: 0.310 eV/atom
* excess energy over the best structure of this formula in the dataset: 0.153 eV/atom
* energy: -4.22 eV per atom

***

(4)
Compound: Ac8TlGe3Te4
Source: Alexandria
Functional: PBE-GGA
Structure: relaxed

Cell: 9.369 9.531 9.370 Å, 119.45 120.00 90.00°
Fractional positions:
Te  0.000  0.000  0.500
Te  0.500  0.000  0.000
Te  0.000  0.000  0.000
Te  0.500  0.000  0.500
Ac  0.735  0.732  0.983
Ac  0.741  0.722  0.481
Ac  0.259  0.278  0.519
Ac  0.265  0.268  0.017
Ac  0.249  0.732  0.497
Ac  0.249  0.732  0.983
Ac  0.751  0.268  0.503
Ac  0.751  0.268  0.017
Ge  0.000  0.500  0.500
Ge  0.500  0.500  0.000
Ge  0.500  0.500  0.500
Tl  0.000  0.500  0.000

Properties
* energy relative to the elements, uncorrected: -107 kJ/mol of atoms
* energy: -4.96 eV per atom

***

(5)
Compound: Mn2GaNiH
Source: Alexandria
Functional: PBE-GGA
Structure: relaxed

Cell: 3.630 3.630 4.001 Å, 90.00 90.00 90.00°
Fractional positions:
Mn  0.500  0.000  0.000
Mn  0.000  0.500  0.000
H  0.000  0.000  0.000
Ga  0.000  0.000  0.500
Ni  0.500  0.500  0.500

Properties
* excess energy over the best structure of this formula in the dataset: 0.171 eV/atom
* energy: -6.09 eV per atom

***

(6)
Compound: Ba2LaSi
Source: Alexandria
Functional: PBE-GGA
Structure: relaxed

Cell: 4.981 4.981 9.089 Å, 74.19 74.19 59.94°
Fractional positions:
Ba  0.777  0.777  0.670
Ba  0.969  0.969  0.093
Si  0.221  0.221  0.337
La  0.533  0.533  0.401

Properties
* energy relative to the elements, uncorrected: -14 kJ/mol of atoms
* energy: -3.69 eV per atom

***

(7)
Compound: MgMnCl
Source: Alexandria
Functional: PBE-GGA
Structure: relaxed

Cell: 6.726 6.404 3.186 Å, 81.65 70.40 27.95°
Fractional positions:
Mn  0.666  0.666  0.334
Mg  0.336  0.336  0.664
Cl  0.998  0.998  0.002

Properties
* energy relative to the elements, uncorrected: -15 kJ/mol of atoms
* excess energy over the best structure of this formula in the dataset: 0.082 eV/atom
* energy: -4.36 eV per atom

***

(8)
Compound: Cd2Ga2Sb
Source: Alexandria
Functional: PBE-GGA
Structure: relaxed

Cell: 4.317 4.317 6.943 Å, 71.89 71.89 90.00°
Fractional positions:
Cd  0.750  0.250  0.500
Cd  0.250  0.750  0.500
Ga  0.599  0.599  0.802
Ga  0.401  0.401  0.198
Sb  0.000  0.000  0.000

Properties
* energy relative to the elements, uncorrected: 14 kJ/mol of atoms
* excess energy over the best structure of this formula in the dataset: 0.062 eV/atom
* energy: -2.26 eV per atom